DFT (GGA-PBE) results for a relaxed La8CeSm5 crystal.

Computed properties:
Formation energy from the elements, eV per atom: 0.152
Size of the total moment, μB/cell: 0.7

Cell: 8.7424 8.6701 8.7424 Å, 114.78 100.56 113.86°
Each line ends with the local moment (μB).
Atoms (fractional coordinates):
La 0.1443 0.6539 0.9195  -0.02
La 0.9045 0.1183 0.6550  0.00
La 0.7517 0.2353 0.2996  0.01
La 0.6798 0.3544 0.9243  -0.02
La 0.5699 0.6456 0.3254  -0.02
La 0.5367 0.8817 0.7862  0.00
La 0.2656 0.3461 0.4904  -0.02
La 0.0644 0.7647 0.5164  0.01
Ce 0.3934 0.5000 0.8933  -0.46
Sm 0.0851 0.3887 0.1328  0.00
Sm 0.9135 0.8857 0.1698  -0.01
Sm 0.7441 0.6113 0.6964  0.00
Sm 0.4130 0.0000 0.4130  0.01
Sm 0.2841 0.1143 0.0278  -0.01

---

DFT (GGA-PBE) results for a relaxed Ni3Ir6Ru crystal.

Computed properties:
Formation energy from the elements, eV per atom: 0.242
Size of the total moment, μB/cell: 0.0

Cell: 4.2207 8.0582 9.1915 Å, 116.00 90.00 90.00°
Atoms (fractional coordinates):
Ni 0.5017 0.7556 0.8390
Ni 0.0017 0.9166 0.1610
Ni 0.0260 0.5793 0.1586
Ni 0.5260 0.4207 0.8414
Ni 0.0017 0.2444 0.1610
Ni 0.5017 0.0834 0.8390
Ir 0.0144 0.6081 0.8846
Ir 0.5144 0.7235 0.1154
Ir 0.2655 0.9397 0.4036
Ir 0.7655 0.5361 0.5964
Ir 0.5027 0.0502 0.1005
Ir 0.7028 0.7038 0.4076
Ir 0.2028 0.2962 0.5924
Ir 0.0027 0.9498 0.8995
Ir 0.2655 0.4639 0.4036
Ir 0.7655 0.0603 0.5964
Ir 0.0144 0.2765 0.8846
Ir 0.5144 0.3919 0.1154
Ru 0.1905 0.8045 0.6091
Ru 0.6905 0.1955 0.3909

---

DFT (GGA-PBE) results for a relaxed Cr2Te2I crystal.

Computed properties:
E above lowest polymorph, meV/atom: 0
Uncorrected formation energy, eV/atom: -0.14
Size of the total moment, μB/cell: 7.0

Cell: 4.0059 4.0059 8.9101 Å, 102.99 102.99 90.00°
Each line ends with the local moment (μB).
Atoms (fractional coordinates):
Cr 0.8385 0.8385 0.6770  3.45
Cr 0.1615 0.1615 0.3230  3.45
Te 0.6763 0.6763 0.3525  -0.20
Te 0.3237 0.3237 0.6475  -0.20
I 0.0000 0.0000 0.0000  -0.03

---

DFT (GGA-PBE) results for a relaxed FeNiMo2 crystal.

Computed properties:
Formation energy from the elements, eV per atom: 0.230
E above lowest polymorph, meV/atom: 178
Size of the total moment, μB/cell: 2.1

Cell: 4.6263 4.6263 4.8301 Å, 81.67 81.67 32.70°
Each line ends with the local moment (μB).
Atoms (fractional coordinates):
Fe 0.2500 0.2500 0.2500  2.14
Mo 0.0035 0.0035 0.9974  -0.08
Mo 0.4965 0.4965 0.5026  -0.08
Ni 0.7500 0.7500 0.7500  0.13

---

DFT (GGA-PBE) results for a relaxed InPbN2 crystal.

Computed properties:
E above lowest polymorph, meV/atom: 0
Uncorrected formation energy, eV/atom: 0.15
Size of the total moment, μB/cell: 0.0

Cell: 5.8361 3.3739 13.8253 Å, 83.15 89.46 85.38°
Atoms (fractional coordinates):
In 0.0000 0.5000 0.5000
In 0.5000 0.0000 0.5000
Pb 0.2501 0.6624 0.6798
Pb 0.7499 0.3376 0.3202
N 0.6551 0.0595 0.8928
N 0.3449 0.9405 0.1072
N 0.8465 0.0461 0.8927
N 0.1535 0.9539 0.1073

---

DFT (GGA-PBE) results for a relaxed Na2Tm2TeO6 crystal.

Computed properties:
Uncorrected formation energy, eV/atom: -2.32
Size of the total moment, μB/cell: 0.0

Cell: 5.8421 5.8421 5.9248 Å, 98.83 98.83 120.01°
Atoms (fractional coordinates):
Na 0.8363 0.1637 0.0000
Na 0.1637 0.8363 0.0000
Tm 0.3354 0.6646 0.5000
Tm 0.6646 0.3354 0.5000
Te 0.0000 0.0000 0.5000
O 0.7424 0.7424 0.6995
O 0.0529 0.3924 0.6986
O 0.2576 0.2576 0.3005
O 0.3924 0.0529 0.6986
O 0.9471 0.6076 0.3014
O 0.6076 0.9471 0.3014

---

DFT (GGA-PBE) results for a relaxed PrDy2Si2 crystal.

Computed properties:
Uncorrected formation energy, eV/atom: -0.49
Size of the total moment, μB/cell: 1.3

Cell: 4.2014 5.6244 12.0146 Å, 110.19 90.00 90.00°
Each line ends with the local moment (μB).
Atoms (fractional coordinates):
Pr 0.2500 0.8070 0.2212  0.11
Pr 0.7500 0.1930 0.7788  0.11
Dy 0.2500 0.7819 0.8744  0.10
Dy 0.7500 0.2181 0.1256  0.10
Dy 0.2500 0.2925 0.5475  0.14
Dy 0.7500 0.7075 0.4525  0.14
Si 0.2500 0.8529 0.6275  0.00
Si 0.7500 0.1471 0.3725  0.00
Si 0.2500 0.3569 0.9800  0.00
Si 0.7500 0.6431 0.0200  0.00

---

DFT (GGA-PBE) results for a relaxed SmEuAs2 crystal.

Computed properties:
Formation energy from the elements, eV per atom: -1.302
Size of the total moment, μB/cell: 6.4

Cell: 4.2493 4.2493 7.3921 Å, 73.30 73.30 60.00°
Each line ends with the local moment (μB).
Atoms (fractional coordinates):
Eu 0.5000 0.5000 0.5000  6.62
As 0.2519 0.2519 0.2443  -0.07
As 0.7481 0.7481 0.7557  -0.07
Sm 0.0000 0.0000 0.0000  -0.03